(1)
La2MnP | GGA-PBE | optimized geometry

Structure (CIF):
```
data_La2MnP
_chemical_formula_sum 'La2 Mn1 P1'
_cell_length_a 3.3454
_cell_length_b 3.3454
_cell_length_c 8.5571
_cell_angle_alpha 90.00
_cell_angle_beta 90.00
_cell_angle_gamma 90.00
_space_group_name_H-M_alt 'P 1'
_space_group_IT_number 1
_space_group_name_Hall 'P 1'
loop_
_atom_site_label
_atom_site_type_symbol
_atom_site_fract_x
_atom_site_fract_y
_atom_site_fract_z
_atom_site_occupancy
La1 La 0.0000 0.0000 0.0000 1
La2 La 0.5000 0.5000 0.4084 1
Mn1 Mn 0.0000 0.0000 0.6637 1
P1 P 0.5000 0.5000 0.7585 1
```

---

(2)
LaMn2P | GGA-PBE | optimized geometry

Structure (CIF):
```
data_LaMn2P
_chemical_formula_sum 'La1 Mn2 P1'
_cell_length_a 4.0910
_cell_length_b 3.9068
_cell_length_c 4.6696
_cell_angle_alpha 90.00
_cell_angle_beta 95.75
_cell_angle_gamma 90.00
_space_group_name_H-M_alt 'P 1'
_space_group_IT_number 1
_space_group_name_Hall 'P 1'
loop_
_atom_site_label
_atom_site_type_symbol
_atom_site_fract_x
_atom_site_fract_y
_atom_site_fract_z
_atom_site_occupancy
La1 La 0.0000 0.0000 0.0000 1
Mn1 Mn 0.2420 0.5000 0.5942 1
Mn2 Mn 0.7580 0.5000 0.4058 1
P1 P 0.5000 0.0000 0.5000 1
```

---

(3)
LaMnP2 | GGA-PBE | optimized geometry

Structure (CIF):
```
data_LaMnP2
_chemical_formula_sum 'La1 Mn1 P2'
_cell_length_a 4.7313
_cell_length_b 4.7313
_cell_length_c 3.6266
_cell_angle_alpha 90.00
_cell_angle_beta 90.00
_cell_angle_gamma 90.00
_space_group_name_H-M_alt 'P 1'
_space_group_IT_number 1
_space_group_name_Hall 'P 1'
loop_
_atom_site_label
_atom_site_type_symbol
_atom_site_fract_x
_atom_site_fract_y
_atom_site_fract_z
_atom_site_occupancy
La1 La 0.0000 0.0000 0.0000 1
Mn1 Mn 0.5000 0.5000 0.0000 1
P1 P 0.0000 0.5000 0.5000 1
P2 P 0.5000 0.0000 0.5000 1
```

---

(4)
La2MnP | GGA-PBE | optimized geometry

Structure (CIF):
```
data_La2MnP
_chemical_formula_sum 'La2 Mn1 P1'
_cell_length_a 4.0806
_cell_length_b 4.0806
_cell_length_c 8.2496
_cell_angle_alpha 104.36
_cell_angle_beta 104.36
_cell_angle_gamma 60.05
_space_group_name_H-M_alt 'P 1'
_space_group_IT_number 1
_space_group_name_Hall 'P 1'
loop_
_atom_site_label
_atom_site_type_symbol
_atom_site_fract_x
_atom_site_fract_y
_atom_site_fract_z
_atom_site_occupancy
La1 La 0.2407 0.2407 0.2217 1
La2 La 0.7593 0.7593 0.7783 1
Mn1 Mn 0.0000 0.0000 0.5000 1
P1 P 0.5000 0.5000 0.0000 1
```

---

(5)
LaMnP | GGA-PBE | optimized geometry

Structure (CIF):
```
data_LaMnP
_chemical_formula_sum 'La2 Mn2 P2'
_cell_length_a 3.7841
_cell_length_b 3.7841
_cell_length_c 8.8907
_cell_angle_alpha 90.00
_cell_angle_beta 90.00
_cell_angle_gamma 90.00
_space_group_name_H-M_alt 'P 1'
_space_group_IT_number 1
_space_group_name_Hall 'P 1'
loop_
_atom_site_label
_atom_site_type_symbol
_atom_site_fract_x
_atom_site_fract_y
_atom_site_fract_z
_atom_site_occupancy
La1 La 0.2500 0.2500 0.2044 1
La2 La 0.7500 0.7500 0.7956 1
Mn1 Mn 0.2500 0.7500 0.5000 1
Mn2 Mn 0.7500 0.2500 0.5000 1
P1 P 0.2500 0.2500 0.6459 1
P2 P 0.7500 0.7500 0.3541 1
```

---

(6)
La2MnP | GGA-PBE | optimized geometry

Structure (CIF):
```
data_La2MnP
_chemical_formula_sum 'La2 Mn1 P1'
_cell_length_a 4.1766
_cell_length_b 6.0112
_cell_length_c 6.0112
_cell_angle_alpha 41.17
_cell_angle_beta 90.00
_cell_angle_gamma 90.00
_space_group_name_H-M_alt 'P 1'
_space_group_IT_number 1
_space_group_name_Hall 'P 1'
loop_
_atom_site_label
_atom_site_type_symbol
_atom_site_fract_x
_atom_site_fract_y
_atom_site_fract_z
_atom_site_occupancy
La1 La 0.0000 0.0000 0.0000 1
La2 La 0.5000 0.2837 0.2837 1
Mn1 Mn 0.0000 0.7043 0.7043 1
P1 P 0.5000 0.5777 0.5777 1
```

---

(7)
LaMnP2 | GGA-PBE | optimized geometry

Structure (CIF):
```
data_LaMnP2
_chemical_formula_sum 'La1 Mn1 P2'
_cell_length_a 3.5007
_cell_length_b 3.5007
_cell_length_c 6.0729
_cell_angle_alpha 90.00
_cell_angle_beta 90.00
_cell_angle_gamma 90.00
_space_group_name_H-M_alt 'P 1'
_space_group_IT_number 1
_space_group_name_Hall 'P 1'
loop_
_atom_site_label
_atom_site_type_symbol
_atom_site_fract_x
_atom_site_fract_y
_atom_site_fract_z
_atom_site_occupancy
La1 La 0.0000 0.0000 0.0000 1
Mn1 Mn 0.0000 0.0000 0.5000 1
P1 P 0.5000 0.5000 0.3136 1
P2 P 0.5000 0.5000 0.6864 1
```

---

(8)
La2MnP | GGA-PBE | optimized geometry

Structure (CIF):
```
data_La2MnP
_chemical_formula_sum 'La4 Mn2 P2'
_cell_length_a 6.6569
_cell_length_b 6.6569
_cell_length_c 6.6569
_cell_angle_alpha 107.97
_cell_angle_beta 107.97
_cell_angle_gamma 112.51
_space_group_name_H-M_alt 'P 1'
_space_group_IT_number 1
_space_group_name_Hall 'P 1'
loop_
_atom_site_label
_atom_site_type_symbol
_atom_site_fract_x
_atom_site_fract_y
_atom_site_fract_z
_atom_site_occupancy
La1 La 0.1136 0.1250 0.4886 1
La2 La 0.3750 0.8864 0.0114 1
La3 La 0.6364 0.6250 0.5114 1
La4 La 0.8750 0.3636 0.9886 1
Mn1 Mn 0.2500 0.7500 0.5000 1
Mn2 Mn 0.5000 0.5000 0.0000 1
P1 P 0.0000 0.0000 0.0000 1
P2 P 0.7500 0.2500 0.5000 1
```

---

no.,DFT total energy (eV per atom)
1,-6.3382
2,-7.2812
3,-6.6043
4,-6.5347
5,-7.3999
6,-6.7420
7,-6.6311
8,-6.2546